Density functional theory data (PBE) for La3Cd2Ir3 after structural relaxation.

abc: 5.989 8.619 8.619
angles: 120.00 90.00 90.00
Positions (direct):
Ir 0.250 0.000 0.378
La 0.750 0.000 0.287
Ir 0.250 0.622 0.622
Ir 0.250 0.378 0.000
La 0.250 0.287 0.287
La 0.750 0.713 0.713
Ir 0.750 0.000 0.622
Cd 0.000 0.667 0.333
Ir 0.750 0.378 0.378
La 0.250 0.000 0.713
La 0.750 0.287 0.000
Cd 0.500 0.333 0.667
Cd 0.000 0.333 0.667
La 0.250 0.713 0.000
Cd 0.500 0.667 0.333
Ir 0.750 0.622 0.000

Properties
- total magnetization (Bohr magnetons per cell) = 0.00
- final energy (eV/cell) = -94.0

***

Density functional theory data (PBE) for La4CdIr after structural relaxation.

abc: 6.267 6.267 6.267
angles: 60.00 60.00 60.00
Positions (direct):
Cd 0.750 0.750 0.750
La 0.373 0.373 0.880
Ir 0.000 0.000 0.000
La 0.373 0.373 0.373
La 0.373 0.880 0.373
La 0.880 0.373 0.373

Properties
- total magnetization (Bohr magnetons per cell) = 0.01
- relative energy among the computed polymorphs (kJ/mol of formula units) = 568
- final energy (eV/cell) = -26.4

***

Density functional theory data (PBE) for La7Cd2Ir2 after structural relaxation.

abc: 7.141 7.443 7.141
angles: 90.00 107.59 90.00
Positions (direct):
Ir 0.287 0.000 0.713
La 0.500 0.243 0.500
La 0.000 0.251 0.500
La 0.500 0.749 0.000
La 0.500 0.251 0.000
La 0.000 0.000 0.000
La 0.000 0.749 0.500
Cd 0.169 0.500 0.169
Ir 0.713 0.000 0.287
La 0.500 0.757 0.500
Cd 0.831 0.500 0.831

Properties
- total magnetization (Bohr magnetons per cell) = 0.00
- relative energy among the computed polymorphs (kJ/mol of formula units) = 0
- final energy (eV/cell) = -58.4

***

Energy relative to the elements for every record listed, in sequence, given in meV/atom: -475; 508; -396.
Volume for every record listed, in sequence, given in A^3/atom: 24.082; 29.012; 32.890.